No. 1
Crystalline Ba2HgOsN6 at its relaxed geometry, computed with GGA-PBE.

Calculated values
The total DFT energy (no corrections) comes out at -5.792 eV per atom. The space group is P-1 (2).

POSCAR file:
```
Ba2HgOsN6
1.0
5.9356 0.0000 0.0000
2.9413 5.1963 0.0000
0.0570 3.3751 4.9396
Ba Hg Os N
2 1 1 6
Direct
0.2500 0.0000 0.2501
0.7500 0.0000 0.7499
0.0000 0.5000 0.5000
0.5000 0.5000 0.0000
0.2377 0.5021 0.8023
0.2573 0.9533 0.8001
0.3234 0.4592 0.2766
0.6766 0.5408 0.7234
0.7427 0.0467 0.1999
0.7623 0.4979 0.1977
```

No. 2
Crystalline CoCuTcGe at its relaxed geometry, computed with GGA-PBE.

Calculated values
As for the offset from the most stable computed form: 0.0000 eV/atom. The space group is F-43m (216).

POSCAR file:
```
CoCuTcGe
1.0
5.9302 0.0000 0.0000
0.0000 5.9302 0.0000
0.0000 0.0000 5.9302
Co Cu Tc Ge
4 4 4 4
Direct
0.0000 0.0000 0.0000
0.0000 0.5000 0.5000
0.5000 0.0000 0.5000
0.5000 0.5000 0.0000
0.2500 0.2500 0.7500
0.2500 0.7500 0.2500
0.7500 0.2500 0.2500
0.7500 0.7500 0.7500
0.2500 0.2500 0.2500
0.2500 0.7500 0.7500
0.7500 0.2500 0.7500
0.7500 0.7500 0.2500
0.0000 0.0000 0.5000
0.0000 0.5000 0.0000
0.5000 0.0000 0.0000
0.5000 0.5000 0.5000
```

No. 3
Crystalline TmGaW at its relaxed geometry, computed with GGA-PBE.

Calculated values
As for the offset from the most stable computed form: 0.0000 eV/atom. The space group is F-43m (216).

POSCAR file:
```
TmGaW
1.0
6.3346 0.0000 0.0000
0.0000 6.3346 0.0000
0.0000 0.0000 6.3346
Tm Ga W
4 4 4
Direct
0.0000 0.0000 0.0000
0.0000 0.5000 0.5000
0.5000 0.0000 0.5000
0.5000 0.5000 0.0000
0.2500 0.2500 0.2500
0.2500 0.7500 0.7500
0.7500 0.2500 0.7500
0.7500 0.7500 0.2500
0.0000 0.0000 0.5000
0.0000 0.5000 0.0000
0.5000 0.0000 0.0000
0.5000 0.5000 0.5000
```

No. 4
Crystalline Cs2CdSe2O6 at its relaxed geometry, computed with GGA-PBE.

Calculated values
The total DFT energy (no corrections) comes out at -4.834 eV per atom. The space group is R-3m (166).

POSCAR file:
```
Cs2CdSe2O6
1.0
2.9223 1.6872 6.8525
-2.9223 1.6872 6.8525
0.0000 -3.3744 6.8525
Cs Cd Se O
2 1 2 6
Direct
0.1985 0.1985 0.1985
0.8015 0.8015 0.8015
0.0000 0.0000 0.0000
0.3706 0.3706 0.3706
0.6294 0.6294 0.6294
0.2519 0.2519 0.7150
0.2519 0.7150 0.2519
0.2850 0.7481 0.7481
0.7150 0.2519 0.2519
0.7481 0.2850 0.7481
0.7481 0.7481 0.2850
```

No. 5
Crystalline RbTbFeTe3 at its relaxed geometry, computed with GGA-PBE.

Calculated values
As for the offset from the most stable computed form: 0.0148 eV/atom. The space group is Cmcm (63).

POSCAR file:
```
RbTbFeTe3
1.0
2.1908 -8.3058 0.0000
2.1908 8.3058 0.0000
0.0000 0.0000 11.4843
Rb Tb Fe Te
2 2 2 6
Direct
0.2473 0.7527 0.7500
0.7527 0.2473 0.2500
0.5000 0.5000 0.0000
0.5000 0.5000 0.5000
0.0297 0.9703 0.2500
0.9703 0.0297 0.7500
0.1232 0.8768 0.0657
0.1232 0.8768 0.4343
0.4338 0.5662 0.2500
0.5662 0.4338 0.7500
0.8768 0.1232 0.5657
0.8768 0.1232 0.9343
```

No. 6
Crystalline Ba2Sn3Hg3 at its relaxed geometry, computed with GGA-PBE.

Calculated values
As for the offset from the most stable computed form: 0.0000 eV/atom. The space group is P-6m2 (187).

POSCAR file:
```
Ba2Sn3Hg3
1.0
7.3920 0.0000 0.0000
-3.6960 6.4017 0.0000
0.0000 0.0000 5.2952
Ba Sn Hg
2 3 3
Direct
0.0000 0.0000 0.0000
0.3333 0.6667 0.5000
0.5293 0.0587 0.0000
0.5293 0.4707 0.0000
0.9413 0.4707 0.0000
0.3509 0.1754 0.5000
0.8246 0.1754 0.5000
0.8246 0.6491 0.5000
```